Record 1
Compound: LaTlInGa2
Source: the Alexandria database
Functional: GGA-PBE
Structure: optimized geometry

Structure (POSCAR):
```
LaTlInGa2
1.0
5.323 0.000 0.000
0.000 5.323 0.000
0.000 0.000 5.582
La Tl In Ga
1 1 1 2
Direct
0.000 0.000 0.000 La
0.500 0.500 0.500 Tl
0.500 0.500 0.000 In
0.000 0.500 0.500 Ga
0.500 0.000 0.500 Ga
```

Results
M_tot in μB/cell: 0.000
V in Å³/cell: 158.16
Calculated formation energy in eV/atom: 0.2922

Record 2
Compound: LaTmInGa
Source: the Alexandria database
Functional: GGA-PBE
Structure: optimized geometry

Structure (POSCAR):
```
LaTmInGa
1.0
7.508 0.000 0.000
0.000 7.508 0.000
0.000 0.000 7.508
La Tm In Ga
4 4 4 4
Direct
0.000 0.000 0.000 La
0.000 0.500 0.500 La
0.500 0.000 0.500 La
0.500 0.500 0.000 La
0.000 0.000 0.500 Tm
0.000 0.500 0.000 Tm
0.500 0.000 0.000 Tm
0.500 0.500 0.500 Tm
0.250 0.250 0.250 In
0.250 0.750 0.750 In
0.750 0.250 0.750 In
0.750 0.750 0.250 In
0.250 0.250 0.750 Ga
0.250 0.750 0.250 Ga
0.750 0.250 0.250 Ga
0.750 0.750 0.750 Ga
```

Results
M_tot in μB/cell: 0.000
Energy above the most stable polymorph in this dataset in kJ/mol of atoms: 3.4
V in Å³/cell: 423.19
Calculated formation energy in eV/atom: -0.4934

Record 3
Compound: LaTmInGa
Source: the Alexandria database
Functional: GGA-PBE
Structure: optimized geometry

Structure (POSCAR):
```
LaTmInGa
1.0
3.688 0.000 0.000
0.000 3.688 0.000
0.000 0.000 7.704
La Tm In Ga
1 1 1 1
Direct
0.000 0.000 0.000 La
0.000 0.000 0.469 Tm
0.500 0.500 0.712 In
0.500 0.500 0.259 Ga
```

Results
M_tot in μB/cell: 0.000
Energy above the most stable polymorph in this dataset in kJ/mol of atoms: 0.0
V in Å³/cell: 104.79
Calculated formation energy in eV/atom: -0.5290

Record 4
Compound: LaYInGa
Source: the Alexandria database
Functional: GGA-PBE
Structure: optimized geometry

Structure (POSCAR):
```
LaYInGa
1.0
3.721 0.000 0.000
0.000 3.721 0.000
0.000 0.000 7.730
La Y In Ga
1 1 1 1
Direct
0.000 0.000 0.000 La
0.000 0.000 0.471 Y
0.500 0.500 0.717 In
0.500 0.500 0.255 Ga
```

Results
M_tot in μB/cell: 0.000
V in Å³/cell: 107.03
Calculated formation energy in eV/atom: -0.5515

Record 5
Compound: La3Zn6InGa2
Source: the Alexandria database
Functional: GGA-PBE
Structure: optimized geometry

Structure (POSCAR):
```
La3Zn6InGa2
1.0
6.188 0.000 0.000
-3.094 5.359 0.000
0.000 0.000 8.420
La Zn In Ga
3 6 1 2
Direct
0.000 0.000 0.000 La
0.333 0.667 0.644 La
0.667 0.333 0.356 La
0.192 0.384 0.285 Zn
0.192 0.808 0.285 Zn
0.384 0.192 0.715 Zn
0.616 0.808 0.285 Zn
0.808 0.192 0.715 Zn
0.808 0.616 0.715 Zn
0.000 0.000 0.500 In
0.333 0.667 0.018 Ga
0.667 0.333 0.982 Ga
```

Results
M_tot in μB/cell: 0.000
V in Å³/cell: 279.21
Calculated formation energy in eV/atom: -0.2022

Record 6
Compound: La2Zn3InGa4
Source: the Alexandria database
Functional: GGA-PBE
Structure: optimized geometry

Structure (POSCAR):
```
La2Zn3InGa4
1.0
4.370 0.000 0.000
0.000 4.370 0.000
0.000 0.000 10.927
La Zn In Ga
2 3 1 4
Direct
0.000 0.500 0.242 La
0.500 0.000 0.758 La
0.000 0.500 0.873 Zn
0.500 0.000 0.127 Zn
0.500 0.500 0.500 Zn
0.000 0.000 0.500 In
0.000 0.000 0.000 Ga
0.000 0.500 0.648 Ga
0.500 0.000 0.352 Ga
0.500 0.500 0.000 Ga
```

Results
M_tot in μB/cell: 0.000
V in Å³/cell: 208.66
Calculated formation energy in eV/atom: -0.4866

Record 7
Compound: La2Zn4In3Ga
Source: the Alexandria database
Functional: GGA-PBE
Structure: optimized geometry

Structure (POSCAR):
```
La2Zn4In3Ga
1.0
4.500 0.000 0.000
0.000 4.500 0.000
0.000 0.000 11.159
La Zn In Ga
2 4 3 1
Direct
0.000 0.500 0.247 La
0.500 0.000 0.753 La
0.000 0.000 0.500 Zn
0.000 0.500 0.868 Zn
0.500 0.000 0.132 Zn
0.500 0.500 0.500 Zn
0.000 0.000 0.000 In
0.000 0.500 0.635 In
0.500 0.000 0.365 In
0.500 0.500 0.000 Ga
```

Results
M_tot in μB/cell: 0.000
V in Å³/cell: 225.98
Calculated formation energy in eV/atom: -0.3841

Record 8
Compound: Li3In2Ga3
Source: the Alexandria database
Functional: GGA-PBE
Structure: optimized geometry

Structure (POSCAR):
```
Li3In2Ga3
1.0
2.261 -5.280 0.000
2.261 5.280 0.000
0.000 0.000 13.190
Li In Ga
6 4 6
Direct
0.073 0.927 0.605 Li
0.073 0.927 0.895 Li
0.288 0.712 0.750 Li
0.712 0.288 0.250 Li
0.927 0.073 0.105 Li
0.927 0.073 0.395 Li
0.230 0.770 0.102 In
0.230 0.770 0.398 In
0.770 0.230 0.602 In
0.770 0.230 0.898 In
0.426 0.574 0.576 Ga
0.426 0.574 0.924 Ga
0.430 0.570 0.250 Ga
0.570 0.430 0.750 Ga
0.574 0.426 0.076 Ga
0.574 0.426 0.424 Ga
```

Results
M_tot in μB/cell: 0.000
Energy above the most stable polymorph in this dataset in kJ/mol of atoms: 0.4
V in Å³/cell: 314.88
Calculated formation energy in eV/atom: -0.1799

Record 9
Compound: Li6In5Ga
Source: the Alexandria database
Functional: GGA-PBE
Structure: optimized geometry

Structure (POSCAR):
```
Li6In5Ga
1.0
4.099 -7.112 0.000
4.099 7.112 0.000
-2.727 0.000 3.904
Li In Ga
6 5 1
Direct
0.080 0.405 0.743 Li
0.237 0.237 0.238 Li
0.405 0.080 0.743 Li
0.595 0.920 0.257 Li
0.763 0.763 0.762 Li
0.920 0.595 0.257 Li
0.168 0.832 0.000 In
0.334 0.666 0.500 In
0.500 0.500 0.000 In
0.666 0.334 0.500 In
0.832 0.168 0.000 In
0.000 0.000 0.500 Ga
```

Results
M_tot in μB/cell: 0.000
V in Å³/cell: 227.59
Calculated formation energy in eV/atom: -0.2748

Record 10
Compound: Li2InGa
Source: the Alexandria database
Functional: GGA-PBE
Structure: optimized geometry

Structure (POSCAR):
```
Li2InGa
1.0
4.108 0.000 0.000
0.000 4.108 0.000
0.000 0.000 19.702
Li In Ga
8 4 4
Direct
0.235 0.250 0.125 Li
0.250 0.735 0.375 Li
0.250 0.765 0.875 Li
0.265 0.250 0.625 Li
0.735 0.750 0.625 Li
0.750 0.235 0.875 Li
0.750 0.265 0.375 Li
0.765 0.750 0.125 Li
0.000 0.000 0.500 In
0.000 0.500 0.750 In
0.500 0.000 0.250 In
0.500 0.500 0.000 In
0.000 0.000 0.000 Ga
0.000 0.500 0.250 Ga
0.500 0.000 0.750 Ga
0.500 0.500 0.500 Ga
```

Results
M_tot in μB/cell: 0.000
V in Å³/cell: 332.52
Calculated formation energy in eV/atom: -0.0544

Record 11
Compound: Li12In3Ga
Source: the Alexandria database
Functional: GGA-PBE
Structure: optimized geometry

Structure (POSCAR):
```
Li12In3Ga
1.0
4.202 0.000 0.000
0.000 4.202 0.000
0.000 0.000 16.658
Li In Ga
12 3 1
Direct
0.000 0.000 0.000 Li
0.000 0.000 0.238 Li
0.000 0.000 0.500 Li
0.000 0.000 0.762 Li
0.000 0.500 0.111 Li
0.000 0.500 0.368 Li
0.000 0.500 0.632 Li
0.000 0.500 0.889 Li
0.500 0.000 0.111 Li
0.500 0.000 0.368 Li
0.500 0.000 0.632 Li
0.500 0.000 0.889 Li
0.500 0.500 0.237 In
0.500 0.500 0.500 In
0.500 0.500 0.763 In
0.500 0.500 0.000 Ga
```

Results
M_tot in μB/cell: 0.004
V in Å³/cell: 294.08
Calculated formation energy in eV/atom: -0.1879

Record 12
Compound: Li2In6Ga
Source: the Alexandria database
Functional: GGA-PBE
Structure: optimized geometry

Structure (POSCAR):
```
Li2In6Ga
1.0
6.262 -5.121 0.000
6.262 5.121 0.000
-2.439 0.000 6.793
Li In Ga
4 12 2
Direct
0.117 0.188 0.332 Li
0.188 0.117 0.832 Li
0.812 0.883 0.168 Li
0.883 0.812 0.668 Li
0.059 0.454 0.709 In
0.149 0.833 0.038 In
0.167 0.851 0.462 In
0.280 0.442 0.145 In
0.442 0.280 0.645 In
0.454 0.059 0.209 In
0.546 0.941 0.791 In
0.558 0.720 0.355 In
0.720 0.558 0.855 In
0.833 0.149 0.538 In
0.851 0.167 0.962 In
0.941 0.546 0.291 In
0.344 0.656 0.750 Ga
0.656 0.344 0.250 Ga
```

Results
M_tot in μB/cell: 0.000
V in Å³/cell: 435.66
Calculated formation energy in eV/atom: -0.0605